1.
The following is a PBE-GGA calculation of a relaxed structure of TaIO2, from the Alexandria database.

Structure (CIF):
```
data_TaIO2
_symmetry_space_group_name_H-M 'P 1'
_symmetry_Int_Tables_number 1
_cell_length_a 9.128
_cell_length_b 9.128
_cell_length_c 9.128
_cell_angle_alpha 20.02
_cell_angle_beta 20.02
_cell_angle_gamma 20.02
loop_
_symmetry_equiv_pos_as_xyz
'x,y,z'
loop_
_atom_site_label
_atom_site_type_symbol
_atom_site_fract_x
_atom_site_fract_y
_atom_site_fract_z
Ta1 Ta 0.500 0.500 0.500
O1 O 0.129 0.129 0.129
O2 O 0.871 0.871 0.871
I1 I 0.000 0.000 0.000
```

**Symmetry**: R-3m, No. 166
**VASP energy**: -29.662 eV per cell

=====

2.
The following is a PBE-GGA calculation of a relaxed structure of Pm4Eu2C, from the Alexandria database.

Structure (CIF):
```
data_Pm4Eu2C
_symmetry_space_group_name_H-M 'P 1'
_symmetry_Int_Tables_number 1
_cell_length_a 5.170
_cell_length_b 5.170
_cell_length_c 9.935
_cell_angle_alpha 105.08
_cell_angle_beta 105.08
_cell_angle_gamma 90.00
loop_
_symmetry_equiv_pos_as_xyz
'x,y,z'
loop_
_atom_site_label
_atom_site_type_symbol
_atom_site_fract_x
_atom_site_fract_y
_atom_site_fract_z
C1 C 0.000 0.000 0.000
Pm1 Pm 0.870 0.870 0.741
Eu1 Eu 0.330 0.330 0.661
Pm2 Pm 0.500 0.000 0.000
Eu2 Eu 0.670 0.670 0.339
Pm3 Pm 0.130 0.130 0.259
Pm4 Pm 0.000 0.500 0.000
```

**Formation energy**: 1.05 eV per formula unit
**Symmetry**: I4/mmm, No. 139
**VASP energy**: -47.726 eV per cell

=====

3.
The following is a PBE-GGA calculation of a relaxed structure of ThBeGaPt3, from the Alexandria database.

Structure (CIF):
```
data_ThBeGaPt3
_symmetry_space_group_name_H-M 'P 1'
_symmetry_Int_Tables_number 1
_cell_length_a 5.555
_cell_length_b 6.836
_cell_length_c 6.826
_cell_angle_alpha 120.05
_cell_angle_beta 90.00
_cell_angle_gamma 90.00
loop_
_symmetry_equiv_pos_as_xyz
'x,y,z'
loop_
_atom_site_label
_atom_site_type_symbol
_atom_site_fract_x
_atom_site_fract_y
_atom_site_fract_z
Th1 Th 0.750 0.294 0.589
Be1 Be 0.750 0.612 0.225
Pt1 Pt 0.000 0.300 0.000
Pt2 Pt 0.250 0.197 0.394
Pt3 Pt 0.500 0.300 0.000
Pt4 Pt 0.750 0.803 0.606
Pt5 Pt 0.500 0.700 0.000
Ga1 Ga 0.250 0.971 0.942
Be2 Be 0.250 0.388 0.775
Pt6 Pt 0.000 0.700 0.000
Ga2 Ga 0.750 0.029 0.058
Th2 Th 0.250 0.706 0.411
```

**Formation energy**: -4.62 eV per formula unit
**Symmetry**: Cmcm, No. 63
**VASP energy**: -73.839 eV per cell

=====

4.
The following is a PBE-GGA calculation of a relaxed structure of Na2Sn5Au3, from the Alexandria database.

Structure (CIF):
```
data_Na2Sn5Au3
_symmetry_space_group_name_H-M 'P 1'
_symmetry_Int_Tables_number 1
_cell_length_a 6.639
_cell_length_b 9.502
_cell_length_c 9.502
_cell_angle_alpha 78.93
_cell_angle_beta 69.55
_cell_angle_gamma 69.55
loop_
_symmetry_equiv_pos_as_xyz
'x,y,z'
loop_
_atom_site_label
_atom_site_type_symbol
_atom_site_fract_x
_atom_site_fract_y
_atom_site_fract_z
Sn1 Sn 0.514 0.236 0.236
Sn2 Sn 0.014 0.236 0.236
Au1 Au 0.634 0.493 0.238
Na1 Na 0.145 0.594 0.117
Au2 Au 0.366 0.507 0.762
Sn3 Sn 0.403 0.251 0.944
Au3 Au 0.134 0.238 0.493
Au4 Au 0.866 0.762 0.507
Sn4 Sn 0.597 0.749 0.056
Na2 Na 0.855 0.406 0.883
Sn5 Sn 0.250 0.500 0.500
Sn6 Sn 0.486 0.764 0.764
Na3 Na 0.355 0.883 0.406
Au5 Au 0.750 0.000 0.000
Sn7 Sn 0.097 0.056 0.749
Na4 Na 0.645 0.117 0.594
Sn8 Sn 0.750 0.500 0.500
Au6 Au 0.250 0.000 0.000
Sn9 Sn 0.986 0.764 0.764
Sn10 Sn 0.903 0.944 0.251
```

**Formation energy**: -2.20 eV per formula unit
**Energy above the lowest structure with this stoichiometry**: 0.045 eV/atom
**Symmetry**: Ibam, No. 72
**VASP energy**: -69.368 eV per cell

=====

5.
The following is a PBE-GGA calculation of a relaxed structure of Sm7HoEr4, from the Alexandria database.

Structure (CIF):
```
data_Sm7HoEr4
_symmetry_space_group_name_H-M 'P 1'
_symmetry_Int_Tables_number 1
_cell_length_a 5.935
_cell_length_b 9.683
_cell_length_c 8.550
_cell_angle_alpha 61.19
_cell_angle_beta 69.69
_cell_angle_gamma 72.16
loop_
_symmetry_equiv_pos_as_xyz
'x,y,z'
loop_
_atom_site_label
_atom_site_type_symbol
_atom_site_fract_x
_atom_site_fract_y
_atom_site_fract_z
Er1 Er 0.329 0.386 0.957
Er2 Er 0.572 0.302 0.555
Sm1 Sm 0.789 0.235 0.186
Ho1 Ho 0.000 0.000 0.000
Sm2 Sm 0.500 0.000 0.000
Er3 Er 0.671 0.614 0.043
Sm3 Sm 0.084 0.555 0.278
Sm4 Sm 0.211 0.765 0.814
Sm5 Sm 0.916 0.445 0.722
Sm6 Sm 0.212 0.118 0.458
Sm7 Sm 0.788 0.882 0.542
Er4 Er 0.428 0.698 0.445
```

**Formation energy**: 2.72 eV per formula unit
**Energy above the lowest structure with this stoichiometry**: 0.223 eV/atom
**Symmetry**: C2/m, No. 12
**VASP energy**: -53.147 eV per cell

=====

6.
The following is a PBE-GGA calculation of a relaxed structure of YBe2In, from the Alexandria database.

Structure (CIF):
```
data_YBe2In
_symmetry_space_group_name_H-M 'P 1'
_symmetry_Int_Tables_number 1
_cell_length_a 3.112
_cell_length_b 3.112
_cell_length_c 7.203
_cell_angle_alpha 90.00
_cell_angle_beta 90.00
_cell_angle_gamma 90.07
loop_
_symmetry_equiv_pos_as_xyz
'x,y,z'
loop_
_atom_site_label
_atom_site_type_symbol
_atom_site_fract_x
_atom_site_fract_y
_atom_site_fract_z
In1 In 0.000 0.000 0.445
Be1 Be 0.500 0.500 0.191
Be2 Be 0.000 0.000 0.070
Y1 Y 0.500 0.500 0.793
```

**Formation energy**: 0.65 eV per formula unit
**Symmetry**: P4mm, No. 99
**VASP energy**: -16.002 eV per cell

=====

7.
The following is a PBE-GGA calculation of a relaxed structure of Ho2Al2Zn, from the Alexandria database.

Structure (CIF):
```
data_Ho2Al2Zn
_symmetry_space_group_name_H-M 'P 1'
_symmetry_Int_Tables_number 1
_cell_length_a 4.466
_cell_length_b 5.766
_cell_length_c 9.597
_cell_angle_alpha 88.11
_cell_angle_beta 76.55
_cell_angle_gamma 67.22
loop_
_symmetry_equiv_pos_as_xyz
'x,y,z'
loop_
_atom_site_label
_atom_site_type_symbol
_atom_site_fract_x
_atom_site_fract_y
_atom_site_fract_z
Ho1 Ho 0.315 0.704 0.667
Zn1 Zn 0.383 0.890 0.344
Al1 Al 0.363 0.153 0.120
Ho2 Ho 0.913 0.269 0.905
Al2 Al 0.637 0.847 0.880
Ho3 Ho 0.087 0.731 0.095
Zn2 Zn 0.617 0.110 0.656
Ho4 Ho 0.685 0.296 0.333
Al3 Al 0.074 0.285 0.567
Al4 Al 0.926 0.715 0.433
```

**Formation energy**: -2.14 eV per formula unit
**Symmetry**: C2/m, No. 12
**VASP energy**: -40.101 eV per cell

=====

8.
The following is a PBE-GGA calculation of a relaxed structure of ZrAlSe, from the Alexandria database.

Structure (CIF):
```
data_ZrAlSe
_symmetry_space_group_name_H-M 'P 1'
_symmetry_Int_Tables_number 1
_cell_length_a 3.722
_cell_length_b 3.722
_cell_length_c 8.666
_cell_angle_alpha 90.00
_cell_angle_beta 90.00
_cell_angle_gamma 90.00
loop_
_symmetry_equiv_pos_as_xyz
'x,y,z'
loop_
_atom_site_label
_atom_site_type_symbol
_atom_site_fract_x
_atom_site_fract_y
_atom_site_fract_z
Al1 Al 0.000 0.000 0.000
Al2 Al 0.500 0.500 0.000
Se1 Se 0.000 0.500 0.379
Zr1 Zr 0.000 0.500 0.725
Zr2 Zr 0.500 0.000 0.275
Se2 Se 0.500 0.000 0.621
```

**Energy above the lowest structure with this stoichiometry**: 0.000 eV/atom
**Symmetry**: P4/nmm, No. 129
**VASP energy**: -36.681 eV per cell

=====

9.
The following is a PBE-GGA calculation of a relaxed structure of NaCuPt4, from the Alexandria database.

Structure (CIF):
```
data_NaCuPt4
_symmetry_space_group_name_H-M 'P 1'
_symmetry_Int_Tables_number 1
_cell_length_a 5.288
_cell_length_b 5.288
_cell_length_c 5.288
_cell_angle_alpha 60.00
_cell_angle_beta 60.00
_cell_angle_gamma 60.00
loop_
_symmetry_equiv_pos_as_xyz
'x,y,z'
loop_
_atom_site_label
_atom_site_type_symbol
_atom_site_fract_x
_atom_site_fract_y
_atom_site_fract_z
Cu1 Cu 0.000 0.000 0.000
Na1 Na 0.250 0.250 0.250
Pt1 Pt 0.625 0.625 0.125
Pt2 Pt 0.625 0.125 0.625
Pt3 Pt 0.625 0.625 0.625
Pt4 Pt 0.125 0.625 0.625
```

**Formation energy**: -0.30 eV per formula unit
**Symmetry**: F-43m, No. 216
**VASP energy**: -29.883 eV per cell

=====

10.
The following is a PBE-GGA calculation of a relaxed structure of RhWBr, from the Alexandria database.

Structure (CIF):
```
data_RhWBr
_symmetry_space_group_name_H-M 'P 1'
_symmetry_Int_Tables_number 1
_cell_length_a 6.478
_cell_length_b 6.478
_cell_length_c 6.478
_cell_angle_alpha 153.37
_cell_angle_beta 153.37
_cell_angle_gamma 38.01
loop_
_symmetry_equiv_pos_as_xyz
'x,y,z'
loop_
_atom_site_label
_atom_site_type_symbol
_atom_site_fract_x
_atom_site_fract_y
_atom_site_fract_z
Rh1 Rh 0.302 0.302 0.000
Br1 Br 0.025 0.025 0.000
W1 W 0.672 0.672 0.000
```

**Energy above the lowest structure with this stoichiometry**: 0.009 eV/atom
**Symmetry**: I4mm, No. 107
**VASP energy**: -20.737 eV per cell

=====

11.
The following is a PBE-GGA calculation of a relaxed structure of Pm6C2NF3, from the Alexandria database.

Structure (CIF):
```
data_Pm6C2NF3
_symmetry_space_group_name_H-M 'P 1'
_symmetry_Int_Tables_number 1
_cell_length_a 6.308
_cell_length_b 6.308
_cell_length_c 6.544
_cell_angle_alpha 99.08
_cell_angle_beta 99.08
_cell_angle_gamma 120.20
loop_
_symmetry_equiv_pos_as_xyz
'x,y,z'
loop_
_atom_site_label
_atom_site_type_symbol
_atom_site_fract_x
_atom_site_fract_y
_atom_site_fract_z
F1 F 0.500 0.500 0.500
F2 F 0.185 0.815 0.500
Pm1 Pm 0.260 0.260 0.781
Pm2 Pm 0.403 0.072 0.219
Pm3 Pm 0.597 0.928 0.781
Pm4 Pm 0.740 0.740 0.219
C1 C 0.666 0.334 0.000
C2 C 0.334 0.666 0.000
Pm5 Pm 0.928 0.597 0.781
Pm6 Pm 0.072 0.403 0.219
N1 N 0.000 0.000 0.000
F3 F 0.815 0.185 0.500
```

**Symmetry**: C2/m, No. 12
**VASP energy**: -81.055 eV per cell

=====

12.
The following is a PBE-GGA calculation of a relaxed structure of PaZn4Ni2, from the Alexandria database.

Structure (CIF):
```
data_PaZn4Ni2
_symmetry_space_group_name_H-M 'P 1'
_symmetry_Int_Tables_number 1
_cell_length_a 3.752
_cell_length_b 3.748
_cell_length_c 8.002
_cell_angle_alpha 103.54
_cell_angle_beta 90.00
_cell_angle_gamma 90.00
loop_
_symmetry_equiv_pos_as_xyz
'x,y,z'
loop_
_atom_site_label
_atom_site_type_symbol
_atom_site_fract_x
_atom_site_fract_y
_atom_site_fract_z
Zn1 Zn 0.000 0.317 0.634
Ni1 Ni 0.500 0.575 0.150
Zn2 Zn 0.000 0.683 0.366
Zn3 Zn 0.500 0.182 0.364
Zn4 Zn 0.500 0.818 0.636
Ni2 Ni 0.500 0.425 0.850
Pa1 Pa 0.000 0.000 0.000
```

**Formation energy**: -1.55 eV per formula unit
**Energy above the lowest structure with this stoichiometry**: 0.032 eV/atom
**Symmetry**: Cmmm, No. 65
**VASP energy**: -27.707 eV per cell